# 1
{"formula": "Ba2FeH", "functional": "PBEsol", "state": "optimized geometry", "total_magnetization_mub_per_fu": 1.85, "spacegroup": "I-42d", "dft_energy_ev_per_cell": -29.093, "lattice": [[-3.7548, 3.7548, 4.0720], [3.7548, -3.7548, 4.0720], [3.7548, 3.7548, -4.0720]], "species": ["Ba", "Ba", "Ba", "Ba", "Fe", "Fe", "H", "H"], "frac_coords": [[0.0566, 0.1250, 0.4316], [0.3750, 0.9434, 0.0684], [0.6934, 0.6250, 0.5684], [0.8750, 0.3066, 0.9316], [0.2500, 0.7500, 0.5000], [0.5000, 0.5000, 0.0000], [0.0000, 0.0000, 0.0000], [0.7500, 0.2500, 0.5000]]}

=====

# 2
{"formula": "BaMg2FeH8", "functional": "PBEsol", "state": "optimized geometry", "total_magnetization_mub_per_fu": 0.05, "spacegroup": "P-3m1", "dft_energy_ev_per_cell": -45.899, "lattice": [[4.5063, 0.0000, 0.0000], [-2.2532, 3.9026, 0.0000], [0.0000, 0.0000, 6.8686]], "species": ["Ba", "Mg", "Mg", "Fe", "H", "H", "H", "H", "H", "H", "H", "H"], "frac_coords": [[0.0000, 0.0000, 0.0000], [0.3333, 0.6667, 0.6129], [0.6667, 0.3333, 0.3871], [0.0000, 0.0000, 0.5000], [0.1597, 0.3193, 0.3625], [0.1597, 0.8403, 0.3625], [0.3193, 0.1597, 0.6375], [0.3333, 0.6667, 0.8930], [0.6667, 0.3333, 0.1070], [0.6807, 0.8403, 0.3625], [0.8403, 0.1597, 0.6375], [0.8403, 0.6807, 0.6375]]}